Er2SiSe: relaxed, PBE.

a = 4.0654 Å, b = 4.0654 Å, c = 20.2032 Å
α = 90.00°, β = 90.00°, γ = 120.00°
Space group R-3m (No. 166, hexagonal axes)
Unique sites:
1 Er 0.0000 0.0000 0.2450 (multiplicity 6)
2 Si 0.0000 0.0000 0.5000 (multiplicity 3)
3 Se 0.0000 0.0000 0.0000 (multiplicity 3)

Values from the calculation:
For the raw formation energy, the calculation gives -1.279 eV/atom. Its magnetization is 0.00 μB/f.u.